Here is a relaxed structure of KCa4Si8H16O28F from Alexandria via LeMat-Bulk. Energies are from GGA-PBEsol.

Geometry as POSCAR:
```
KCa4Si8H16O28F
1.0
-2.539 -7.650 -3.767
5.052 -4.515 5.766
-12.201 -0.877 10.003
Si H O Ca F K
16 32 56 8 2 2
Direct
0.917 0.231 0.189 Si
0.731 0.417 0.311 Si
0.083 0.769 0.811 Si
0.917 0.231 0.811 Si
0.269 0.583 0.311 Si
0.769 0.917 0.189 Si
0.583 0.731 0.311 Si
0.231 0.083 0.811 Si
0.417 0.269 0.689 Si
0.417 0.269 0.311 Si
0.731 0.417 0.689 Si
0.769 0.917 0.811 Si
0.583 0.731 0.689 Si
0.231 0.083 0.189 Si
0.269 0.583 0.689 Si
0.083 0.769 0.189 Si
0.928 0.723 0.650 H
0.168 0.556 0.912 H
0.332 0.056 0.412 H
0.556 0.832 0.912 H
0.332 0.056 0.588 H
0.428 0.777 0.150 H
0.056 0.668 0.412 H
0.668 0.944 0.588 H
0.944 0.332 0.588 H
0.072 0.277 0.350 H
0.168 0.556 0.088 H
0.777 0.572 0.150 H
0.223 0.428 0.850 H
0.277 0.928 0.350 H
0.277 0.928 0.650 H
0.944 0.332 0.412 H
0.723 0.072 0.350 H
0.572 0.223 0.850 H
0.056 0.668 0.588 H
0.444 0.168 0.912 H
0.723 0.072 0.650 H
0.928 0.723 0.350 H
0.223 0.428 0.150 H
0.777 0.572 0.850 H
0.668 0.944 0.412 H
0.444 0.168 0.088 H
0.556 0.832 0.088 H
0.572 0.223 0.150 H
0.832 0.444 0.912 H
0.072 0.277 0.650 H
0.832 0.444 0.088 H
0.428 0.777 0.850 H
0.714 0.049 0.589 O
0.771 0.399 0.410 O
0.809 0.089 0.783 O
0.370 0.130 0.250 O
0.729 0.899 0.910 O
0.214 0.451 0.911 O
0.101 0.729 0.090 O
0.399 0.229 0.590 O
0.691 0.589 0.283 O
0.309 0.411 0.717 O
0.399 0.229 0.410 O
0.191 0.911 0.783 O
0.870 0.370 0.750 O
0.229 0.601 0.590 O
0.630 0.870 0.750 O
0.286 0.951 0.589 O
0.951 0.714 0.411 O
0.630 0.870 0.250 O
0.729 0.899 0.090 O
0.786 0.549 0.089 O
0.049 0.286 0.411 O
0.601 0.771 0.590 O
0.049 0.286 0.589 O
0.370 0.130 0.750 O
0.714 0.049 0.411 O
0.214 0.451 0.089 O
0.130 0.630 0.250 O
0.271 0.101 0.090 O
0.951 0.714 0.589 O
0.089 0.191 0.217 O
0.589 0.309 0.283 O
0.451 0.786 0.089 O
0.601 0.771 0.410 O
0.101 0.729 0.910 O
0.771 0.399 0.590 O
0.549 0.214 0.911 O
0.271 0.101 0.910 O
0.191 0.911 0.217 O
0.899 0.271 0.910 O
0.870 0.370 0.250 O
0.589 0.309 0.717 O
0.309 0.411 0.283 O
0.451 0.786 0.911 O
0.691 0.589 0.717 O
0.411 0.691 0.283 O
0.786 0.549 0.911 O
0.549 0.214 0.089 O
0.411 0.691 0.717 O
0.286 0.951 0.411 O
0.911 0.809 0.217 O
0.089 0.191 0.783 O
0.809 0.089 0.217 O
0.911 0.809 0.783 O
0.229 0.601 0.410 O
0.899 0.271 0.090 O
0.130 0.630 0.750 O
0.386 0.749 0.500 Ca
0.749 0.614 0.500 Ca
0.751 0.114 0.000 Ca
0.614 0.251 0.500 Ca
0.249 0.886 0.000 Ca
0.114 0.249 0.000 Ca
0.251 0.386 0.500 Ca
0.886 0.751 0.000 Ca
0.000 0.000 0.000 F
0.500 0.500 0.500 F
0.500 0.500 0.000 K
0.000 0.000 0.500 K
```

Computed properties:
Calculated total energy = -383.57 eV/f.u.
Magnetization = 0.0 μB/cell



Here is a relaxed structure of CaHNF2 from Alexandria via LeMat-Bulk. Energies are from GGA-PBEsol.

Geometry as POSCAR:
```
CaHNF2
1.0
-1.686 2.491 -3.111
1.049 -2.981 -2.956
-5.124 -2.540 0.743
H F N Ca
1 2 1 1
Direct
0.500 0.500 0.500 H
0.000 0.500 0.000 F
0.500 0.000 0.000 F
0.000 0.000 0.500 N
0.000 0.000 0.000 Ca
```

Computed properties:
Calculated total energy = -20.57 eV/f.u.
Magnetization = 4.0 μB/cell



Here is a relaxed structure of NaCa4Si8H16O28F from Alexandria via LeMat-Bulk. Energies are from GGA-PBEsol.

Geometry as POSCAR:
```
NaCa4Si8H16O28F
1.0
-1.055 8.730 -0.271
-2.838 -0.601 -8.314
-14.842 -1.633 5.184
H O F Si Na Ca
32 56 2 16 2 8
Direct
0.554 0.821 0.913 H
0.054 0.679 0.413 H
0.757 0.573 0.148 H
0.054 0.679 0.587 H
0.946 0.321 0.587 H
0.243 0.427 0.852 H
0.927 0.744 0.648 H
0.073 0.256 0.352 H
0.679 0.946 0.587 H
0.743 0.073 0.648 H
0.243 0.427 0.148 H
0.257 0.927 0.352 H
0.321 0.054 0.413 H
0.821 0.446 0.913 H
0.573 0.244 0.852 H
0.446 0.179 0.913 H
0.427 0.756 0.852 H
0.446 0.179 0.087 H
0.257 0.927 0.648 H
0.679 0.946 0.413 H
0.743 0.073 0.352 H
0.073 0.256 0.648 H
0.427 0.756 0.148 H
0.554 0.821 0.087 H
0.757 0.573 0.852 H
0.927 0.744 0.352 H
0.573 0.244 0.148 H
0.946 0.321 0.413 H
0.821 0.446 0.087 H
0.179 0.554 0.913 H
0.179 0.554 0.087 H
0.321 0.054 0.587 H
0.723 0.904 0.090 O
0.767 0.549 0.912 O
0.407 0.690 0.284 O
0.407 0.690 0.716 O
0.096 0.724 0.090 O
0.404 0.224 0.410 O
0.876 0.376 0.250 O
0.593 0.310 0.284 O
0.596 0.776 0.590 O
0.876 0.376 0.750 O
0.733 0.049 0.412 O
0.723 0.904 0.910 O
0.596 0.776 0.410 O
0.777 0.404 0.410 O
0.624 0.876 0.750 O
0.277 0.096 0.910 O
0.376 0.124 0.250 O
0.809 0.094 0.784 O
0.124 0.624 0.750 O
0.952 0.733 0.412 O
0.624 0.876 0.250 O
0.267 0.951 0.412 O
0.404 0.224 0.590 O
0.548 0.233 0.088 O
0.309 0.406 0.284 O
0.593 0.310 0.716 O
0.309 0.406 0.716 O
0.223 0.596 0.410 O
0.093 0.190 0.216 O
0.691 0.594 0.284 O
0.904 0.276 0.090 O
0.733 0.049 0.588 O
0.952 0.733 0.588 O
0.124 0.624 0.250 O
0.223 0.596 0.590 O
0.093 0.190 0.784 O
0.691 0.594 0.716 O
0.048 0.267 0.412 O
0.233 0.451 0.088 O
0.277 0.096 0.090 O
0.048 0.267 0.588 O
0.904 0.276 0.910 O
0.777 0.404 0.590 O
0.548 0.233 0.912 O
0.267 0.951 0.588 O
0.452 0.767 0.912 O
0.191 0.906 0.216 O
0.096 0.724 0.910 O
0.907 0.810 0.784 O
0.452 0.767 0.088 O
0.907 0.810 0.216 O
0.376 0.124 0.750 O
0.809 0.094 0.216 O
0.233 0.451 0.912 O
0.191 0.906 0.784 O
0.767 0.549 0.088 O
0.500 0.500 0.500 F
0.000 0.000 0.000 F
0.580 0.735 0.312 Si
0.080 0.765 0.188 Si
0.920 0.235 0.188 Si
0.735 0.421 0.312 Si
0.235 0.079 0.188 Si
0.580 0.735 0.688 Si
0.265 0.579 0.688 Si
0.265 0.579 0.312 Si
0.765 0.921 0.188 Si
0.080 0.765 0.812 Si
0.735 0.421 0.688 Si
0.920 0.235 0.812 Si
0.420 0.265 0.312 Si
0.765 0.921 0.812 Si
0.420 0.265 0.688 Si
0.235 0.079 0.812 Si
0.000 0.000 0.500 Na
0.500 0.500 0.000 Na
0.879 0.751 0.000 Ca
0.250 0.379 0.500 Ca
0.750 0.121 0.000 Ca
0.250 0.879 0.000 Ca
0.379 0.749 0.500 Ca
0.121 0.249 0.000 Ca
0.750 0.621 0.500 Ca
0.621 0.251 0.500 Ca
```

Computed properties:
Calculated total energy = -383.24 eV/f.u.
Magnetization = 0.0 μB/cell